Material: BeAl2Ni
Method: DFT, PBE-GGA
State: optimized geometry

Computed properties:
SG: F-43m (216)
M_tot: 0.01 μB per formula unit
Electronic total energy: -4.25 eV per atom

abc: 4.0984 4.0984 4.0984
angles: 60.00 60.00 60.00
Closest atoms and distances in Å follow each position.
Sites, in units of the cell vectors:
Be 0.0000 0.0000 0.0000  4 Ni 2.51, 4 Al 2.51
Al 0.5000 0.5000 0.5000  4 Ni 2.51, 4 Al 2.51
Al 0.7500 0.7500 0.7500  4 Be 2.51, 4 Al 2.51
Ni 0.2500 0.2500 0.2500  4 Be 2.51, 4 Al 2.51

***

Material: Sc2TcHg
Method: DFT, PBE-GGA
State: optimized geometry

Computed properties:
E_form: -0.37 eV/atom
SG: P4/mmm (123)
M_tot: 0.01 μB per formula unit
Electronic total energy: -6.20 eV per atom

abc: 3.3212 3.3212 6.9749
angles: 90.00 90.00 90.00
Closest atoms and distances in Å follow each position.
Sites, in units of the cell vectors:
Sc 0.0000 0.0000 0.2163  4 Tc 2.79, 1 Sc 3.02, 4 Hg 3.07
Sc 0.0000 0.0000 0.7837  4 Tc 2.79, 1 Sc 3.02, 4 Hg 3.07
Tc 0.5000 0.5000 0.0000  8 Sc 2.79
Hg 0.5000 0.5000 0.5000  8 Sc 3.07, 4 Hg 3.32

***

Number 1: ρ 4.15 g/cm³. Number 2: ρ 8.39 g/cm³.